Record 1
{
  "formula": "TaFeGeTe2Pd",
  "functional": "GGA-PBE",
  "state": "relaxed",
  "magnetic_moment_mub_per_atom": 0.145,
  "volume_a3_per_atom": 20.107,
  "dos_at_fermi_per_ev_atom": 0.508,
  "spacegroup": "Pm, No. 6",
  "total_energy_ry_per_atom": -0.4516,
  "e_form_raw_mev_per_atom": -76,
  "cell": [[5.578, 0.000, 0.000], [0.000, 3.805, 0.000], [-1.537, 0.000, 5.684]],
  "species": ["Ta", "Fe", "Ge", "Te", "Te", "Pd"],
  "fractional_positions": [[0.000, 0.000, 0.000], [0.204, 0.500, 0.807], [0.515, 0.000, 0.049], [0.120, 0.000, 0.489], [0.705, 0.500, 0.704], [0.363, 0.500, 0.277]]
}

---

Record 2
{
  "formula": "TbCoGe",
  "functional": "GGA-PBE",
  "state": "relaxed",
  "magnetic_moment_mub_per_atom": 0.000,
  "volume_a3_per_atom": 18.606,
  "delta_e_f_ev_per_atom": -0.575,
  "dos_at_fermi_per_ev_atom": 0.973,
  "spacegroup": "P-6m2, No. 187",
  "total_energy_ry_per_atom": -0.4429,
  "cell": [[4.129, 0.000, 0.000], [-2.064, 3.576, 0.000], [0.000, 0.000, 3.781]],
  "species": ["Tb", "Co", "Ge"],
  "fractional_positions": [[0.000, 0.000, 0.000], [0.333, 0.667, 0.500], [0.667, 0.333, 0.500]]
}

---

Record 3
{
  "formula": "YAlBr3",
  "functional": "GGA-PBE",
  "state": "relaxed",
  "magnetic_moment_mub_per_atom": 0.147,
  "volume_a3_per_atom": 35.349,
  "dos_at_fermi_per_ev_atom": 0.798,
  "spacegroup": "Pm-3m, No. 221",
  "total_energy_ry_per_atom": -0.2871,
  "e_form_raw_mev_per_atom": -862,
  "cell": [[5.612, 0.000, 0.000], [0.000, 5.612, 0.000], [0.000, 0.000, 5.612]],
  "species": ["Y", "Al", "Br", "Br", "Br"],
  "fractional_positions": [[0.000, 0.000, 0.000], [0.500, 0.500, 0.500], [0.000, 0.000, 0.500], [0.000, 0.500, 0.000], [0.500, 0.000, 0.000]]
}

---

Record 4
{
  "formula": "Pu6Bi3N",
  "functional": "GGA-PBE",
  "state": "relaxed",
  "magnetic_moment_mub_per_atom": 3.599,
  "volume_a3_per_atom": 28.463,
  "dos_at_fermi_per_ev_atom": 3.979,
  "spacegroup": "C2/m, No. 12",
  "total_energy_ry_per_atom": -0.8059,
  "e_form_raw_mev_per_atom": -368,
  "cell": [[5.851, -3.282, 0.000], [5.851, 3.282, 0.000], [-3.925, 0.000, 7.410]],
  "species": ["Pu", "Pu", "Pu", "Pu", "Pu", "Pu", "Bi", "Bi", "Bi", "N"],
  "fractional_positions": [[0.166, 0.666, 0.628], [0.193, 0.193, 0.813], [0.334, 0.834, 0.372], [0.666, 0.166, 0.628], [0.807, 0.807, 0.187], [0.834, 0.334, 0.372], [0.289, 0.289, 0.250], [0.500, 0.500, 0.000], [0.711, 0.711, 0.750], [0.000, 0.000, 0.500]]
}

---

Record 5
{
  "formula": "Th3Ni4",
  "functional": "GGA-PBE",
  "state": "relaxed",
  "magnetic_moment_mub_per_atom": 0.000,
  "volume_a3_per_atom": 19.849,
  "delta_e_f_ev_per_atom": -0.453,
  "dos_at_fermi_per_ev_atom": 0.751,
  "spacegroup": "Cmcm, No. 63",
  "total_energy_ry_per_atom": -0.5098,
  "cell": [[1.918, -5.151, 0.000], [1.918, 5.151, 0.000], [0.000, 0.000, 14.062]],
  "species": ["Th", "Th", "Th", "Th", "Th", "Th", "Ni", "Ni", "Ni", "Ni", "Ni", "Ni", "Ni", "Ni"],
  "fractional_positions": [[0.059, 0.941, 0.750], [0.336, 0.664, 0.593], [0.336, 0.664, 0.907], [0.664, 0.336, 0.093], [0.664, 0.336, 0.407], [0.941, 0.059, 0.250], [0.000, 0.000, 0.000], [0.000, 0.000, 0.500], [0.221, 0.779, 0.250], [0.382, 0.618, 0.104], [0.382, 0.618, 0.396], [0.618, 0.382, 0.604], [0.618, 0.382, 0.896], [0.779, 0.221, 0.750]]
}

---

Record 6
{
  "formula": "YScTlGe2",
  "functional": "GGA-PBE",
  "state": "relaxed",
  "magnetic_moment_mub_per_atom": 0.000,
  "volume_a3_per_atom": 28.856,
  "delta_e_f_ev_per_atom": 0.332,
  "dos_at_fermi_per_ev_atom": 0.592,
  "spacegroup": "P4/mmm, No. 123",
  "total_energy_ry_per_atom": -0.3342,
  "cell": [[5.167, 0.000, 0.000], [0.000, 5.167, 0.000], [0.000, 0.000, 5.405]],
  "species": ["Y", "Sc", "Tl", "Ge", "Ge"],
  "fractional_positions": [[0.000, 0.000, 0.000], [0.000, 0.000, 0.500], [0.500, 0.500, 0.000], [0.000, 0.500, 0.500], [0.500, 0.000, 0.500]]
}

---

Record 7
{
  "formula": "LaPt2Br",
  "functional": "GGA-PBE",
  "state": "relaxed",
  "magnetic_moment_mub_per_atom": 0.000,
  "volume_a3_per_atom": 22.696,
  "dos_at_fermi_per_ev_atom": 0.340,
  "spacegroup": "I-42d, No. 122",
  "total_energy_ry_per_atom": -0.3870,
  "e_form_raw_mev_per_atom": -595,
  "cell": [[4.143, 0.000, 0.000], [0.000, 4.143, 0.000], [0.000, 0.000, 21.156]],
  "species": ["La", "La", "La", "La", "Pt", "Pt", "Pt", "Pt", "Pt", "Pt", "Pt", "Pt", "Br", "Br", "Br", "Br"],
  "fractional_positions": [[0.000, 0.000, 0.000], [0.000, 0.500, 0.250], [0.500, 0.000, 0.750], [0.500, 0.500, 0.500], [0.229, 0.250, 0.125], [0.250, 0.729, 0.375], [0.250, 0.771, 0.875], [0.271, 0.250, 0.625], [0.729, 0.750, 0.625], [0.750, 0.229, 0.875], [0.750, 0.271, 0.375], [0.771, 0.750, 0.125], [0.000, 0.000, 0.500], [0.000, 0.500, 0.750], [0.500, 0.000, 0.250], [0.500, 0.500, 0.000]]
}

---

Record 8
{
  "formula": "ZrTi3C",
  "functional": "GGA-PBE",
  "state": "relaxed",
  "magnetic_moment_mub_per_atom": 0.000,
  "volume_a3_per_atom": 15.950,
  "delta_e_f_ev_per_atom": -0.242,
  "dos_at_fermi_per_ev_atom": 1.441,
  "spacegroup": "Pm-3m, No. 221",
  "total_energy_ry_per_atom": -0.6272,
  "cell": [[4.304, 0.000, 0.000], [0.000, 4.304, 0.000], [0.000, 0.000, 4.304]],
  "species": ["Zr", "Ti", "Ti", "Ti", "C"],
  "fractional_positions": [[0.000, 0.000, 0.000], [0.000, 0.500, 0.500], [0.500, 0.000, 0.500], [0.500, 0.500, 0.000], [0.500, 0.500, 0.500]]
}

---

Record 9
{
  "formula": "KY2Sc",
  "functional": "GGA-PBE",
  "state": "relaxed",
  "magnetic_moment_mub_per_atom": 0.531,
  "volume_a3_per_atom": 34.387,
  "delta_e_f_ev_per_atom": 0.577,
  "dos_at_fermi_per_ev_atom": 1.344,
  "spacegroup": "I-4m2, No. 119",
  "total_energy_ry_per_atom": -0.3317,
  "cell": [[5.114, 0.000, 0.000], [0.000, 5.114, 0.000], [0.000, 0.000, 10.519]],
  "species": ["K", "K", "Y", "Y", "Y", "Y", "Sc", "Sc"],
  "fractional_positions": [[0.000, 0.000, 0.000], [0.500, 0.500, 0.500], [0.000, 0.000, 0.500], [0.000, 0.500, 0.250], [0.500, 0.000, 0.750], [0.500, 0.500, 0.000], [0.000, 0.500, 0.750], [0.500, 0.000, 0.250]]
}

---

Record 10
{
  "formula": "HgMoOs2",
  "functional": "GGA-PBE",
  "state": "relaxed",
  "magnetic_moment_mub_per_atom": 0.000,
  "volume_a3_per_atom": 16.769,
  "delta_e_f_ev_per_atom": 0.526,
  "dos_at_fermi_per_ev_atom": 0.735,
  "spacegroup": "Pmm2, No. 25",
  "total_energy_ry_per_atom": -0.5786,
  "cell": [[2.782, 0.000, 0.000], [0.000, 3.892, 0.000], [0.000, 0.000, 6.195]],
  "species": ["Hg", "Mo", "Os", "Os"],
  "fractional_positions": [[0.000, 0.000, 0.000], [0.500, 0.500, 0.287], [0.000, 0.000, 0.529], [0.500, 0.500, 0.703]]
}

---

Record 11
{
  "formula": "SrUSb2",
  "functional": "GGA-PBE",
  "state": "relaxed",
  "magnetic_moment_mub_per_atom": 0.500,
  "volume_a3_per_atom": 33.718,
  "dos_at_fermi_per_ev_atom": 2.122,
  "spacegroup": "R-3m, No. 166",
  "total_energy_ry_per_atom": -0.4323,
  "e_form_raw_mev_per_atom": -578,
  "cell": [[4.527, 0.000, 0.000], [-2.264, 3.921, 0.000], [0.000, 0.000, 22.797]],
  "species": ["Sr", "Sr", "Sr", "U", "U", "U", "Sb", "Sb", "Sb", "Sb", "Sb", "Sb"],
  "fractional_positions": [[0.000, 0.000, 0.000], [0.333, 0.667, 0.667], [0.667, 0.333, 0.333], [0.000, 0.000, 0.500], [0.333, 0.667, 0.167], [0.667, 0.333, 0.833], [0.000, 0.000, 0.240], [0.000, 0.000, 0.760], [0.333, 0.667, 0.426], [0.333, 0.667, 0.907], [0.667, 0.333, 0.093], [0.667, 0.333, 0.574]]
}

---

Record 12
{
  "formula": "LiErSb2",
  "functional": "GGA-PBE",
  "state": "relaxed",
  "magnetic_moment_mub_per_atom": 0.000,
  "volume_a3_per_atom": 24.908,
  "dos_at_fermi_per_ev_atom": 0.509,
  "spacegroup": "P4/mmm, No. 123",
  "total_energy_ry_per_atom": -0.3136,
  "e_form_raw_mev_per_atom": -587,
  "cell": [[3.912, 0.000, 0.000], [0.000, 3.912, 0.000], [0.000, 0.000, 6.510]],
  "species": ["Li", "Er", "Sb", "Sb"],
  "fractional_positions": [[0.000, 0.000, 0.000], [0.000, 0.000, 0.500], [0.500, 0.500, 0.245], [0.500, 0.500, 0.755]]
}